Record 1
# PBE-GGA LiNdSn2Au4, optimized geometry
# energy: -4.01 eV per atom
# M_tot: 0.00 μB/f.u.
# crystal system: trigonal
# DFT formation energy: -536 meV/atom
data_LiNdSn2Au4
_space_group_name_H-M_alt 'P 1'
_space_group_IT_number 1
_cell_length_a 9.243
_cell_length_b 9.243
_cell_length_c 9.243
_cell_angle_alpha 29.46
_cell_angle_beta 29.46
_cell_angle_gamma 29.46
loop_
_space_group_symop_operation_xyz
'x,y,z'
loop_
_atom_site_label
_atom_site_fract_x
_atom_site_fract_y
_atom_site_fract_z
Li1 0.000 0.000 0.000
Nd1 0.500 0.500 0.500
Sn1 0.257 0.257 0.257
Sn2 0.743 0.743 0.743
Au1 0.108 0.108 0.108
Au2 0.364 0.364 0.364
Au3 0.636 0.636 0.636
Au4 0.892 0.892 0.892

***

Record 2
# PBE-GGA LiNd2SnAu6, optimized geometry
# energy: -4.01 eV per atom
# M_tot: 0.00 μB/f.u.
# crystal system: triclinic
# DFT formation energy: -497 meV/atom
data_LiNd2SnAu6
_space_group_name_H-M_alt 'P 1'
_space_group_IT_number 1
_cell_length_a 5.505
_cell_length_b 6.627
_cell_length_c 7.048
_cell_angle_alpha 78.32
_cell_angle_beta 67.90
_cell_angle_gamma 70.92
loop_
_space_group_symop_operation_xyz
'x,y,z'
loop_
_atom_site_label
_atom_site_fract_x
_atom_site_fract_y
_atom_site_fract_z
Li1 0.000 0.000 0.000
Nd1 0.498 0.746 0.253
Nd2 0.502 0.254 0.747
Sn1 0.000 0.500 0.500
Au1 0.020 0.671 0.839
Au2 0.150 0.057 0.606
Au3 0.496 0.248 0.188
Au4 0.504 0.752 0.812
Au5 0.850 0.943 0.394
Au6 0.980 0.329 0.161

***

Record 3
# PBE-GGA LiNd2Sn4Au3, optimized geometry
# energy: -4.30 eV per atom
# M_tot: 0.00 μB/f.u.
# crystal system: tetragonal
# DFT formation energy: -567 meV/atom
data_LiNd2Sn4Au3
_space_group_name_H-M_alt 'P 1'
_space_group_IT_number 1
_cell_length_a 4.473
_cell_length_b 4.473
_cell_length_c 11.998
_cell_angle_alpha 90.00
_cell_angle_beta 90.00
_cell_angle_gamma 90.00
loop_
_space_group_symop_operation_xyz
'x,y,z'
loop_
_atom_site_label
_atom_site_fract_x
_atom_site_fract_y
_atom_site_fract_z
Li1 0.000 0.000 0.000
Nd1 0.000 0.500 0.760
Nd2 0.500 0.000 0.240
Sn1 0.000 0.000 0.500
Sn2 0.000 0.500 0.131
Sn3 0.500 0.000 0.869
Sn4 0.500 0.500 0.500
Au1 0.000 0.500 0.352
Au2 0.500 0.000 0.648
Au3 0.500 0.500 0.000

***

Record 4
# PBE-GGA Li4NdSn2Au, optimized geometry
# energy: -3.42 eV per atom
# M_tot: 0.00 μB/f.u.
# crystal system: trigonal
# DFT formation energy: -461 meV/atom
data_Li4NdSn2Au
_space_group_name_H-M_alt 'P 1'
_space_group_IT_number 1
_cell_length_a 9.027
_cell_length_b 9.027
_cell_length_c 9.027
_cell_angle_alpha 30.30
_cell_angle_beta 30.30
_cell_angle_gamma 30.30
loop_
_space_group_symop_operation_xyz
'x,y,z'
loop_
_atom_site_label
_atom_site_fract_x
_atom_site_fract_y
_atom_site_fract_z
Li1 0.096 0.096 0.096
Li2 0.364 0.364 0.364
Li3 0.636 0.636 0.636
Li4 0.904 0.904 0.904
Nd1 0.500 0.500 0.500
Sn1 0.239 0.239 0.239
Sn2 0.761 0.761 0.761
Au1 0.000 0.000 0.000

***

Record 5
# PBE-GGA SrLi2NdAu2, optimized geometry
# energy: -3.33 eV per atom
# M_tot: 0.00 μB/f.u.
# crystal system: trigonal
# DFT formation energy: -525 meV/atom
data_SrLi2NdAu2
_space_group_name_H-M_alt 'P 1'
_space_group_IT_number 1
_cell_length_a 4.589
_cell_length_b 4.589
_cell_length_c 8.088
_cell_angle_alpha 90.00
_cell_angle_beta 90.00
_cell_angle_gamma 120.00
loop_
_space_group_symop_operation_xyz
'x,y,z'
loop_
_atom_site_label
_atom_site_fract_x
_atom_site_fract_y
_atom_site_fract_z
Sr1 0.000 0.000 0.000
Li1 0.333 0.667 0.268
Li2 0.667 0.333 0.732
Nd1 0.000 0.000 0.500
Au1 0.333 0.667 0.722
Au2 0.667 0.333 0.278

***

Record 6
# PBE-GGA SrLiNdAu, optimized geometry
# energy: -3.22 eV per atom
# M_tot: 0.00 μB/f.u.
# crystal system: cubic
# DFT formation energy: -313 meV/atom
data_SrLiNdAu
_space_group_name_H-M_alt 'P 1'
_space_group_IT_number 1
_cell_length_a 7.615
_cell_length_b 7.615
_cell_length_c 7.615
_cell_angle_alpha 90.00
_cell_angle_beta 90.00
_cell_angle_gamma 90.00
loop_
_space_group_symop_operation_xyz
'x,y,z'
loop_
_atom_site_label
_atom_site_fract_x
_atom_site_fract_y
_atom_site_fract_z
Sr1 0.000 0.000 0.000
Sr2 0.000 0.500 0.500
Sr3 0.500 0.000 0.500
Sr4 0.500 0.500 0.000
Li1 0.250 0.250 0.750
Li2 0.250 0.750 0.250
Li3 0.750 0.250 0.250
Li4 0.750 0.750 0.750
Nd1 0.000 0.000 0.500
Nd2 0.000 0.500 0.000
Nd3 0.500 0.000 0.000
Nd4 0.500 0.500 0.500
Au1 0.250 0.250 0.250
Au2 0.250 0.750 0.750
Au3 0.750 0.250 0.750
Au4 0.750 0.750 0.250